1.
Below is crystalline TiTlCd3 at its relaxed geometry, with properties calculated at the GGA-PBE level.

The structure in CIF format:
```
data_TiTlCd3
_symmetry_space_group_name_H-M 'P 1'
_symmetry_Int_Tables_number 1
_cell_length_a 5.423
_cell_length_b 5.423
_cell_length_c 5.423
_cell_angle_alpha 90.00
_cell_angle_beta 90.00
_cell_angle_gamma 90.00
loop_
_symmetry_equiv_pos_as_xyz
'x,y,z'
loop_
_atom_site_label
_atom_site_fract_x
_atom_site_fract_y
_atom_site_fract_z
Cd1 0.500 0.000 0.000
Tl1 0.000 0.000 0.000
Ti1 0.500 0.500 0.500
Cd2 0.000 0.500 0.000
Cd3 0.000 0.000 0.500
```

Values from the calculation:
- DOS at the Fermi energy (states/eV per cell) = 8.624
- ΔH_f (0 K) (eV/atom) = 0.9668
- polymorph energy (0 for the lowest one) (meV per atom) = 367

=====

2.
Below is crystalline MgZrCdCo at its relaxed geometry, with properties calculated at the GGA-PBE level.

The structure in CIF format:
```
data_MgZrCdCo
_symmetry_space_group_name_H-M 'P 1'
_symmetry_Int_Tables_number 1
_cell_length_a 4.684
_cell_length_b 4.684
_cell_length_c 4.684
_cell_angle_alpha 60.00
_cell_angle_beta 60.00
_cell_angle_gamma 60.00
loop_
_symmetry_equiv_pos_as_xyz
'x,y,z'
loop_
_atom_site_label
_atom_site_fract_x
_atom_site_fract_y
_atom_site_fract_z
Cd1 0.000 0.000 0.000
Mg1 0.750 0.750 0.750
Zr1 0.250 0.250 0.250
Co1 0.500 0.500 0.500
```

Values from the calculation:
- DOS at the Fermi energy (states/eV per cell) = 2.494
- ΔH_f (0 K) (eV/atom) = -0.0058

=====

3.
Below is crystalline LaMg6Cd6 at its relaxed geometry, with properties calculated at the GGA-PBE level.

The structure in CIF format:
```
data_LaMg6Cd6
_symmetry_space_group_name_H-M 'P 1'
_symmetry_Int_Tables_number 1
_cell_length_a 6.044
_cell_length_b 7.676
_cell_length_c 7.676
_cell_angle_alpha 79.98
_cell_angle_beta 66.81
_cell_angle_gamma 66.81
loop_
_symmetry_equiv_pos_as_xyz
'x,y,z'
loop_
_atom_site_label
_atom_site_fract_x
_atom_site_fract_y
_atom_site_fract_z
Mg1 0.500 0.221 0.779
La1 0.000 0.000 0.000
Cd1 0.350 0.650 0.650
Cd2 0.000 0.653 0.347
Mg2 0.000 0.500 0.000
Cd3 0.293 0.207 0.207
Cd4 0.000 0.347 0.653
Cd5 0.707 0.793 0.793
Cd6 0.650 0.350 0.350
Mg3 0.500 0.779 0.221
Mg4 0.500 0.500 0.000
Mg5 0.500 0.000 0.500
Mg6 0.000 0.000 0.500
```

Values from the calculation:
- DOS at the Fermi energy (states/eV per cell) = 3.635
- ΔH_f (0 K) (eV/atom) = -0.1751

=====

4.
Below is crystalline GdYAu2 at its relaxed geometry, with properties calculated at the GGA-PBE level.

The structure in CIF format:
```
data_GdYAu2
_symmetry_space_group_name_H-M 'P 1'
_symmetry_Int_Tables_number 1
_cell_length_a 3.598
_cell_length_b 5.135
_cell_length_c 5.135
_cell_angle_alpha 90.00
_cell_angle_beta 90.00
_cell_angle_gamma 90.00
loop_
_symmetry_equiv_pos_as_xyz
'x,y,z'
loop_
_atom_site_label
_atom_site_fract_x
_atom_site_fract_y
_atom_site_fract_z
Y1 0.500 0.000 0.000
Gd1 0.500 0.500 0.500
Au1 0.000 0.000 0.500
Au2 0.000 0.500 0.000
```

Values from the calculation:
- DOS at the Fermi energy (states/eV per cell) = 2.665
- ΔH_f (0 K) (eV/atom) = -0.8474

=====

5.
Below is crystalline PtRhPb2O6 at its relaxed geometry, with properties calculated at the GGA-PBE level.

The structure in CIF format:
```
data_PtRhPb2O6
_symmetry_space_group_name_H-M 'P 1'
_symmetry_Int_Tables_number 1
_cell_length_a 4.282
_cell_length_b 5.640
_cell_length_c 5.640
_cell_angle_alpha 90.00
_cell_angle_beta 90.00
_cell_angle_gamma 90.00
loop_
_symmetry_equiv_pos_as_xyz
'x,y,z'
loop_
_atom_site_label
_atom_site_fract_x
_atom_site_fract_y
_atom_site_fract_z
O1 0.699 0.752 0.248
O2 0.699 0.248 0.248
O3 0.699 0.752 0.752
Pb1 0.057 0.500 0.000
Pt1 0.623 0.500 0.500
O4 0.162 0.000 0.000
O5 0.699 0.248 0.752
O6 0.142 0.500 0.500
Rh1 0.610 0.000 0.000
Pb2 0.057 0.000 0.500
```

Values from the calculation:
- DOS at the Fermi energy (states/eV per cell) = 8.781
- E_form (uncorrected) (eV/atom) = -0.63

=====

6.
Below is crystalline CaAs2Cl at its relaxed geometry, with properties calculated at the GGA-PBE level.

The structure in CIF format:
```
data_CaAs2Cl
_symmetry_space_group_name_H-M 'P 1'
_symmetry_Int_Tables_number 1
_cell_length_a 5.253
_cell_length_b 5.253
_cell_length_c 3.247
_cell_angle_alpha 90.00
_cell_angle_beta 90.00
_cell_angle_gamma 90.00
loop_
_symmetry_equiv_pos_as_xyz
'x,y,z'
loop_
_atom_site_label
_atom_site_fract_x
_atom_site_fract_y
_atom_site_fract_z
Ca1 0.500 0.000 0.500
As1 0.500 0.500 0.000
Cl1 0.000 0.500 0.500
As2 0.000 0.000 0.000
```

Values from the calculation:
- DOS at the Fermi energy (states/eV per cell) = 1.660
- E_form (uncorrected) (eV/atom) = -0.22
- polymorph energy (0 for the lowest one) (meV per atom) = 785

=====

7.
Below is crystalline KRuSe at its relaxed geometry, with properties calculated at the GGA-PBE level.

The structure in CIF format:
```
data_KRuSe
_symmetry_space_group_name_H-M 'P 1'
_symmetry_Int_Tables_number 1
_cell_length_a 4.693
_cell_length_b 4.693
_cell_length_c 4.693
_cell_angle_alpha 60.00
_cell_angle_beta 60.00
_cell_angle_gamma 60.00
loop_
_symmetry_equiv_pos_as_xyz
'x,y,z'
loop_
_atom_site_label
_atom_site_fract_x
_atom_site_fract_y
_atom_site_fract_z
Se1 0.000 0.000 0.000
Ru1 0.750 0.750 0.750
K1 0.500 0.500 0.500
```

Values from the calculation:
- DOS at the Fermi energy (states/eV per cell) = 1.837
- E_form (uncorrected) (eV/atom) = 0.62
- polymorph energy (0 for the lowest one) (meV per atom) = 995

=====

8.
Below is crystalline Ba2MnHg at its relaxed geometry, with properties calculated at the GGA-PBE level.

The structure in CIF format:
```
data_Ba2MnHg
_symmetry_space_group_name_H-M 'P 1'
_symmetry_Int_Tables_number 1
_cell_length_a 3.931
_cell_length_b 3.931
_cell_length_c 9.508
_cell_angle_alpha 90.00
_cell_angle_beta 90.00
_cell_angle_gamma 90.00
loop_
_symmetry_equiv_pos_as_xyz
'x,y,z'
loop_
_atom_site_label
_atom_site_fract_x
_atom_site_fract_y
_atom_site_fract_z
Ba1 0.500 0.500 0.327
Mn1 0.500 0.500 0.682
Hg1 0.000 0.000 0.564
Ba2 0.000 0.000 0.928
```

Values from the calculation:
- DOS at the Fermi energy (states/eV per cell) = 4.724
- ΔH_f (0 K) (eV/atom) = 0.1528
- polymorph energy (0 for the lowest one) (meV per atom) = 111